Record 1
# CdCl2 PBE-GGA optimized geometry
data_CdCl2
_chemical_formula_sum 'Cd2 Cl4'
_space_group_name_H-M_alt 'C m m m'
_space_group_IT_number 65
_space_group_name_Hall '-C 2 2'
_cell_length_a 3.364
_cell_length_b 13.444
_cell_length_c 3.358
_cell_angle_alpha 90.00
_cell_angle_beta 90.00
_cell_angle_gamma 90.00
loop_
_atom_site_label
_atom_site_fract_x
_atom_site_fract_y
_atom_site_fract_z
Cd1 0.000 0.000 0.000
Cl1 0.000 0.383 0.500
# **Volume**: 25.3 Å³/atom
# **VASP energy**: -2.285 eV per atom

---

Record 2
# HfAgPb PBE-GGA optimized geometry
data_HfAgPb
_chemical_formula_sum 'Hf2 Ag2 Pb2'
_space_group_name_H-M_alt 'P 4/m m m'
_space_group_IT_number 123
_space_group_name_Hall '-P 4 2'
_cell_length_a 3.633
_cell_length_b 3.633
_cell_length_c 10.023
_cell_angle_alpha 90.00
_cell_angle_beta 90.00
_cell_angle_gamma 90.00
loop_
_atom_site_label
_atom_site_fract_x
_atom_site_fract_y
_atom_site_fract_z
Hf1 0.000 0.000 0.000
Hf2 0.500 0.500 0.500
Ag1 0.000 0.000 0.356
Pb1 0.500 0.500 0.188
# **Volume**: 22.0 Å³/atom
# **VASP energy**: -5.289 eV per atom
# **Total moment**: 0.15 μB/f.u.

---

Q: Among the records above, which one has the lowest VASP energy?
A: HfAgPb

---

Repeat the second record exactly.
# HfAgPb PBE-GGA optimized geometry
data_HfAgPb
_chemical_formula_sum 'Hf2 Ag2 Pb2'
_space_group_name_H-M_alt 'P 4/m m m'
_space_group_IT_number 123
_space_group_name_Hall '-P 4 2'
_cell_length_a 3.633
_cell_length_b 3.633
_cell_length_c 10.023
_cell_angle_alpha 90.00
_cell_angle_beta 90.00
_cell_angle_gamma 90.00
loop_
_atom_site_label
_atom_site_fract_x
_atom_site_fract_y
_atom_site_fract_z
Hf1 0.000 0.000 0.000
Hf2 0.500 0.500 0.500
Ag1 0.000 0.000 0.356
Pb1 0.500 0.500 0.188
# **Volume**: 22.0 Å³/atom
# **VASP energy**: -5.289 eV per atom
# **Total moment**: 0.15 μB/f.u.